# 1
## PaSbPb2 (PBE)

Data for crystalline PaSbPb2 at its relaxed geometry.

The structure in POSCAR format:
```
PaSbPb2
1.0
-4.6028 -0.0641 2.3139
1.4505 -3.3532 2.7924
1.4713 3.1461 3.0137
Pb Sb Pa
2 1 1
direct
0.0000 0.0000 0.5000
0.0000 0.5000 0.0000
0.5000 0.0000 0.0000
0.5000 0.5000 0.5000
```

Computed properties:
As for the formation energy (no corrections): -134 meV per atom. Its space group is No. 123. Its calculated density is 11.7 Mg/m³.



# 2
## PaSb2Pb (PBE)

Data for crystalline PaSb2Pb at its relaxed geometry.

The structure in POSCAR format:
```
PaSb2Pb
1.0
-2.6483 2.9242 1.5904
-3.6274 -1.6364 -3.0316
-1.4723 -3.2436 3.5125
Pb Sb Pa
1 2 1
direct
0.5000 0.0000 0.0000
0.0000 0.0000 0.5000
0.0000 0.5000 0.0000
0.5000 0.5000 0.5000
```

Computed properties:
As for the formation energy (no corrections): -241 meV per atom. Its space group is No. 123. Its calculated density is 10.6 Mg/m³.



# 3
## PaSb2Pb (PBE)

Data for crystalline PaSb2Pb at its relaxed geometry.

The structure in POSCAR format:
```
PaSb2Pb
1.0
-2.2149 -1.1100 3.2027
3.2944 -1.6053 1.7220
1.3211 5.8758 2.9502
Pb Sb Pa
1 2 1
direct
0.5000 0.5000 0.5000
0.0000 0.0000 0.7720
0.0000 0.0000 0.2280
0.5000 0.5000 0.0000
```

Computed properties:
As for the formation energy (no corrections): -291 meV per atom. Its space group is No. 123. Its calculated density is 10.3 Mg/m³.



# 4
## PaSbPb2 (PBE)

Data for crystalline PaSbPb2 at its relaxed geometry.

The structure in POSCAR format:
```
PaSbPb2
1.0
3.2965 0.0000 0.0000
1.6482 2.8548 0.0000
1.6482 0.9516 12.5817
Pb Sb Pa
2 1 1
direct
0.0879 0.0879 0.7363
0.9121 0.9121 0.2637
0.5000 0.5000 0.5000
0.0000 0.0000 0.0000
```

Computed properties:
As for the formation energy (no corrections): 403 meV per atom. Its space group is No. 166. Its calculated density is 10.8 Mg/m³.



# 5
## PaSb2Pb (PBE)

Data for crystalline PaSb2Pb at its relaxed geometry.

The structure in POSCAR format:
```
PaSb2Pb
1.0
-3.1644 -2.7649 1.4250
0.3630 -4.3593 -0.7437
2.7770 -3.1988 6.8686
Pb Sb Pa
1 2 1
direct
0.5000 0.5000 0.5000
0.2563 0.2563 0.2311
0.7437 0.7437 0.7689
0.0000 0.0000 0.0000
```

Computed properties:
As for the formation energy (no corrections): -173 meV per atom. Its space group is No. 166. Its calculated density is 8.7 Mg/m³.



# 6
## Sc2PaPb (PBE)

Data for crystalline Sc2PaPb at its relaxed geometry.

The structure in POSCAR format:
```
Sc2PaPb
1.0
5.1261 0.0000 0.0000
2.5631 4.4394 0.0000
2.5631 1.4798 4.1855
Pb Sc Pa
1 2 1
direct
0.0000 0.0000 0.0000
0.2500 0.2500 0.2500
0.7500 0.7500 0.7500
0.5000 0.5000 0.5000
```

Computed properties:
As for the formation energy: 0.069 eV per atom. Its space group is No. 225. Its calculated density is 9.2 Mg/m³.



# 7
## Sc2PaPb (PBE)

Data for crystalline Sc2PaPb at its relaxed geometry.

The structure in POSCAR format:
```
Sc2PaPb
1.0
-3.1262 -1.0678 0.0917
-1.2060 -1.7977 -2.4971
1.6793 -9.6888 3.9771
Sc Pa Pb
2 1 1
direct
0.0825 0.0825 0.7524
0.2508 0.2508 0.2475
0.5000 0.5000 0.5001
0.6666 0.6666 0.0001
```

Computed properties:
As for the formation energy: -0.100 eV per atom. Its space group is No. 160. Its calculated density is 8.9 Mg/m³.



# 8
## ScPaPb (PBE)

Data for crystalline ScPaPb at its relaxed geometry.

The structure in POSCAR format:
```
ScPaPb
1.0
-0.0876 -3.2849 0.7210
4.4787 -0.6740 -2.5265
0.0221 1.1112 5.0657
Pb Sc Pa
1 1 1
direct
0.5003 0.6667 0.3333
0.4998 0.3333 0.6667
0.9999 0.0000 0.0000
```

Computed properties:
As for the formation energy: 0.118 eV per atom. Its space group is No. 187. Its calculated density is 10.2 Mg/m³.



# 9
## ScPa2Pb (PBE)

Data for crystalline ScPa2Pb at its relaxed geometry.

The structure in POSCAR format:
```
ScPa2Pb
1.0
5.1338 0.0000 0.0000
0.0000 4.3725 0.0000
0.0000 0.0000 4.3725
Pb Sc Pa
1 1 2
direct
0.5000 0.0000 0.0000
0.5000 0.5000 0.5000
0.0000 0.0000 0.5000
0.0000 0.5000 0.0000
```

Computed properties:
As for the formation energy: -0.076 eV per atom. Its space group is No. 123. Its calculated density is 12.1 Mg/m³.



# 10
## Sc2PaPb (PBE)

Data for crystalline Sc2PaPb at its relaxed geometry.

The structure in POSCAR format:
```
Sc2PaPb
1.0
4.2491 0.0000 0.0000
0.0000 4.7531 0.0000
0.0000 0.0000 4.7531
Pb Sc Pa
1 2 1
direct
0.5000 0.5000 0.5000
0.0000 0.0000 0.5000
0.0000 0.5000 0.0000
0.5000 0.0000 0.0000
```

Computed properties:
As for the formation energy: -0.075 eV per atom. Its space group is No. 123. Its calculated density is 9.1 Mg/m³.



# 11
## Sc2PaPb (PBE)

Data for crystalline Sc2PaPb at its relaxed geometry.

The structure in POSCAR format:
```
Sc2PaPb
1.0
-0.6955 0.4905 3.4861
3.1982 -1.3973 0.8347
3.0847 6.8521 -0.3486
Pb Sc Pa
1 2 1
direct
0.5000 0.5000 0.0000
0.0000 0.0000 0.7572
0.0000 0.0000 0.2428
0.5000 0.5000 0.5000
```

Computed properties:
As for the formation energy: -0.080 eV per atom. Its space group is No. 123. Its calculated density is 9.1 Mg/m³.



# 12
## Sc2PaPb (PBE)

Data for crystalline Sc2PaPb at its relaxed geometry.

The structure in POSCAR format:
```
Sc2PaPb
1.0
-0.4452 -1.2533 3.0569
0.8725 -3.1505 0.6532
9.6050 1.7083 3.9168
Pb Sc Pa
1 2 1
direct
0.5000 0.5000 0.5000
0.2499 0.2499 0.2504
0.7501 0.7501 0.7496
0.0000 0.0000 0.0000
```

Computed properties:
As for the formation energy: -0.095 eV per atom. Its space group is No. 166. Its calculated density is 8.8 Mg/m³.



# 13
## ScPaPb (PBE)

Data for crystalline ScPaPb at its relaxed geometry.

The structure in POSCAR format:
```
ScPaPb
1.0
-1.8698 -1.2662 -3.1328
2.4907 -2.9361 -0.2998
-6.0203 -5.7094 5.9007
Pb Sc Pa
2 2 2
direct
0.0000 0.5000 0.5943
0.5000 0.0000 0.4057
0.5000 0.0000 0.7447
0.0000 0.5000 0.2553
0.0000 0.5000 0.9269
0.5000 0.0000 0.0731
```

Computed properties:
As for the formation energy: 0.024 eV per atom. Its space group is No. 129. Its calculated density is 10.6 Mg/m³.



# 14
## ScPaTiPb (PBE)

Data for crystalline ScPaTiPb at its relaxed geometry.

The structure in POSCAR format:
```
ScPaTiPb
1.0
4.9845 0.0000 0.0000
2.4923 4.3167 0.0000
2.4923 1.4389 4.0698
Pb Sc Pa Ti
1 1 1 1
direct
0.7500 0.7500 0.7500
0.5000 0.5000 0.5000
0.2500 0.2500 0.2500
0.0000 0.0000 0.0000
```

Computed properties:
As for the formation energy: 0.084 eV per atom. Its space group is No. 216. Its calculated density is 10.1 Mg/m³.



# 15
## ScPaZnPb (PBE)

Data for crystalline ScPaZnPb at its relaxed geometry.

The structure in POSCAR format:
```
ScPaZnPb
1.0
-2.1789 -2.6548 -3.8103
2.0389 -4.4572 -1.5134
-2.4296 -4.4046 1.0052
Pb Sc Zn Pa
1 1 1 1
direct
0.0000 0.0000 0.0000
0.7500 0.7500 0.7500
0.5000 0.5000 0.5000
0.2500 0.2500 0.2500
```

Computed properties:
As for the formation energy: 0.017 eV per atom. Its space group is No. 216. Its calculated density is 9.5 Mg/m³.



# 16
## Pa2PbSe4 (PBE)

Data for crystalline Pa2PbSe4 at its relaxed geometry.

The structure in POSCAR format:
```
Pa2PbSe4
1.0
-4.0224 -0.2016 -0.3959
2.2051 -5.9500 1.3097
-1.6885 2.8331 15.7138
Pa Pb Se
4 2 8
direct
0.1311 0.2621 0.4273
0.8689 0.7379 0.9273
0.1311 0.2621 0.0727
0.8689 0.7379 0.5727
0.5192 0.0384 0.7500
0.4808 0.9616 0.2500
0.7926 0.5852 0.0969
0.7926 0.5852 0.4031
0.2074 0.4148 0.9031
0.2074 0.4148 0.5969
0.8542 0.7084 0.7500
0.1458 0.2916 0.2500
0.5000 0.0000 0.0000
0.5000 0.0000 0.5000
```

Computed properties:
As for the formation energy (no corrections): -1039 meV per atom. Its space group is No. 63. Its calculated density is 8.2 Mg/m³.



# 17
## Pa3Pb2Se8 (PBE)

Data for crystalline Pa3Pb2Se8 at its relaxed geometry.

The structure in POSCAR format:
```
Pa3Pb2Se8
1.0
4.9581 0.0000 0.0000
0.0000 8.7312 -5.0261
0.0000 -0.7095 8.8773
Pa Pb Se
3 2 8
direct
0.5000 0.0000 0.0000
0.0000 0.2706 0.0002
0.0000 0.7294 0.9998
0.5000 0.2647 0.5297
0.5000 0.7353 0.4703
0.0000 0.6181 0.2357
0.0000 0.3819 0.7643
0.0000 0.1078 0.2155
0.0000 0.8922 0.7845
0.5000 0.6465 0.7733
0.5000 0.1268 0.7736
0.5000 0.8732 0.2264
0.5000 0.3535 0.2267
```

Computed properties:
As for the formation energy (no corrections): -1045 meV per atom. Its space group is No. 65. Its calculated density is 7.9 Mg/m³.



# 18
## Pa2Pb4Se9 (PBE)

Data for crystalline Pa2Pb4Se9 at its relaxed geometry.

The structure in POSCAR format:
```
Pa2Pb4Se9
1.0
7.5047 0.0010 0.0155
3.7517 6.5013 0.0393
-0.0406 -0.0995 19.9897
Pa Pb Se
4 8 18
direct
0.9998 0.0001 0.3467
0.9997 0.0001 0.1532
0.0002 0.9999 0.6533
0.0003 0.9999 0.8468
0.3334 0.3333 0.9800
0.3332 0.3334 0.4800
0.6666 0.6667 0.0200
0.3329 0.3335 0.1786
0.6668 0.6666 0.5200
0.6663 0.6667 0.3214
0.3337 0.3333 0.6786
0.6671 0.6665 0.8214
0.0004 0.2781 0.7500
0.2784 0.7217 0.7501
0.7220 0.0001 0.7501
0.9996 0.7219 0.2500
0.7216 0.2783 0.2499
0.2780 0.9999 0.2499
0.6975 0.9679 0.4144
0.9676 0.3345 0.4144
0.3341 0.6980 0.4144
0.6652 0.0325 0.0855
0.3019 0.6655 0.0855
0.0323 0.3020 0.0855
0.3025 0.0321 0.5856
0.0324 0.6655 0.5856
0.6659 0.3020 0.5856
0.3348 0.9675 0.9145
0.6981 0.3345 0.9145
0.9677 0.6980 0.9145
```

Computed properties:
As for the formation energy (no corrections): -893 meV per atom. Its space group is No. 165. Its calculated density is 6.8 Mg/m³.



# 19
## Pa6PbSe12 (PBE)

Data for crystalline Pa6PbSe12 at its relaxed geometry.

The structure in POSCAR format:
```
Pa6PbSe12
1.0
8.3923 -0.1911 -0.2289
-1.4612 8.2664 -0.2289
-1.4612 -1.7024 8.0924
Pa Pb Se
6 1 12
direct
0.6904 0.8633 0.3780
0.6220 0.3096 0.1367
0.1367 0.6220 0.3096
0.3096 0.1367 0.6220
0.3780 0.6904 0.8633
0.8633 0.3780 0.6904
0.0000 0.0000 0.0000
0.8253 0.5787 0.4364
0.4364 0.8253 0.5787
0.5787 0.4364 0.8253
0.1747 0.4213 0.5636
0.5636 0.1747 0.4213
0.4213 0.5636 0.1747
0.0584 0.9354 0.3323
0.0646 0.6677 0.9416
0.6677 0.9416 0.0646
0.9416 0.0646 0.6677
0.9354 0.3323 0.0584
0.3323 0.0584 0.9354
```

Computed properties:
As for the formation energy (no corrections): -1168 meV per atom. Its space group is No. 148. Its calculated density is 7.6 Mg/m³.



# 20
## PaPbSe (PBE)

Data for crystalline PaPbSe at its relaxed geometry.

The structure in POSCAR format:
```
PaPbSe
1.0
-2.0338 -0.7339 -2.8563
0.7676 -2.5830 2.3636
-12.3405 3.5408 7.8772
Pa Pb Se
2 2 2
direct
0.4477 0.8954 0.0000
0.4410 0.8820 0.5000
0.7742 0.5484 0.3193
0.7742 0.5484 0.6807
0.1148 0.2295 0.8707
0.1148 0.2295 0.1293
```

Computed properties:
As for the formation energy (no corrections): -388 meV per atom. Its space group is No. 38. Its calculated density is 10.3 Mg/m³.



# 21
## PaPb2Se4 (PBE)

Data for crystalline PaPb2Se4 at its relaxed geometry.

The structure in POSCAR format:
```
PaPb2Se4
1.0
4.2567 0.0000 0.0000
0.0000 7.7099 0.0000
0.0000 0.0000 13.4533
Pa Pb Se
2 4 8
direct
0.0000 0.0000 0.5000
0.0000 0.5000 0.0000
0.5000 0.8683 0.8336
0.5000 0.1317 0.1664
0.5000 0.3683 0.6664
0.5000 0.6317 0.3336
0.0000 0.6124 0.7976
0.0000 0.3876 0.2024
0.0000 0.1124 0.7024
0.0000 0.8876 0.2976
0.5000 0.7576 0.5403
0.5000 0.2424 0.4597
0.5000 0.7424 0.0403
0.5000 0.2576 0.9597
```

Computed properties:
As for the formation energy (no corrections): -879 meV per atom. Its space group is No. 55. Its calculated density is 7.2 Mg/m³.



# 22
## PaPb2Se4 (PBE)

Data for crystalline PaPb2Se4 at its relaxed geometry.

The structure in POSCAR format:
```
PaPb2Se4
1.0
-6.2916 -2.0707 3.1435
-2.7836 -0.6459 -5.9966
4.8188 -7.5434 -1.4243
Pa Pb Se
2 4 8
direct
0.1732 0.7500 0.1678
0.8268 0.2500 0.8322
0.6759 0.7500 0.0524
0.3241 0.2500 0.9476
0.2569 0.2500 0.4639
0.7431 0.7500 0.5361
0.4793 0.4928 0.2359
0.0164 0.7500 0.8558
0.9836 0.2500 0.1442
0.4793 0.0072 0.2359
0.9047 0.2500 0.5605
0.5207 0.9928 0.7641
0.5207 0.5072 0.7641
0.0953 0.7500 0.4395
```

Computed properties:
As for the formation energy (no corrections): -654 meV per atom. Its space group is No. 11. Its calculated density is 7.6 Mg/m³.



# 23
## PaPbSe (PBE)

Data for crystalline PaPbSe at its relaxed geometry.

The structure in POSCAR format:
```
PaPbSe
1.0
-2.3326 1.0287 -2.5713
2.5160 -0.6179 -2.5296
-2.0410 -5.9589 2.0171
Pb Pa Se
1 1 1
direct
0.9994 0.9994 0.9989
0.6967 0.6967 0.3935
0.3038 0.3038 0.6076
```

Computed properties:
As for the formation energy (no corrections): -534 meV per atom. Its space group is No. 107. Its calculated density is 10.7 Mg/m³.



# 24
## PaPbSe2 (PBE)

Data for crystalline PaPbSe2 at its relaxed geometry.

The structure in POSCAR format:
```
PaPbSe2
1.0
3.8920 0.0000 0.0000
1.9460 3.3706 0.0000
1.9460 1.1235 8.6913
Pa Pb Se
1 1 2
direct
0.6649 0.6649 0.0052
0.5055 0.5055 0.4836
0.0669 0.0669 0.7993
0.2627 0.2627 0.2119
```

Computed properties:
As for the formation energy (no corrections): -830 meV per atom. Its space group is No. 160. Its calculated density is 8.7 Mg/m³.



Number 1: electronic total energy -5.393 eV/atom, V 27.24 A^3/atom. Number 2: electronic total energy -5.604 eV/atom, V 26.61 A^3/atom. Number 3: electronic total energy -5.653 eV/atom, V 27.49 A^3/atom. Number 4: electronic total energy -4.855 eV/atom, V 29.60 A^3/atom. Number 5: electronic total energy -5.535 eV/atom, V 32.62 A^3/atom. Number 6: electronic total energy -6.398 eV/atom, V 23.81 A^3/atom. Number 7: electronic total energy -6.567 eV/atom, V 24.67 A^3/atom. Number 8: electronic total energy -6.394 eV/atom, V 26.12 A^3/atom. Number 9: electronic total energy -7.333 eV/atom, V 24.54 A^3/atom. Number 10: electronic total energy -6.542 eV/atom, V 24.00 A^3/atom. Number 11: electronic total energy -6.546 eV/atom, V 24.22 A^3/atom. Number 12: electronic total energy -6.562 eV/atom, V 24.87 A^3/atom. Number 13: electronic total energy -6.488 eV/atom, V 25.31 A^3/atom. Number 14: electronic total energy -6.773 eV/atom, V 21.89 A^3/atom. Number 15: electronic total energy -5.186 eV/atom, V 23.86 A^3/atom. Number 16: electronic total energy -6.273 eV/atom, V 28.57 A^3/atom. Number 17: electronic total energy -5.951 eV/atom, V 28.20 A^3/atom. Number 18: electronic total energy -5.238 eV/atom, V 32.51 A^3/atom. Number 19: electronic total energy -6.563 eV/atom, V 29.08 A^3/atom. Number 20: electronic total energy -5.951 eV/atom, V 27.92 A^3/atom. Number 21: electronic total energy -5.286 eV/atom, V 31.54 A^3/atom. Number 22: electronic total energy -5.061 eV/atom, V 30.19 A^3/atom. Number 23: electronic total energy -6.097 eV/atom, V 26.65 A^3/atom. Number 24: electronic total energy -5.874 eV/atom, V 28.50 A^3/atom.